# Ac3NiSn (PBE, optimized geometry)
data_Ac3NiSn
_chemical_formula_sum 'Ac3 Ni1 Sn1'
_symmetry_space_group_name_H-M 'P m -3 m'
_symmetry_Int_Tables_number 221
_symmetry_space_group_name_Hall '-P 4 2 3'
_cell_length_a 5.615
_cell_length_b 5.615
_cell_length_c 5.615
_cell_angle_alpha 90.00
_cell_angle_beta 90.00
_cell_angle_gamma 90.00
loop_
_atom_site_label
_atom_site_fract_x
_atom_site_fract_y
_atom_site_fract_z
Ac1 0.000 0.000 0.500
Ni1 0.000 0.000 0.000
Sn1 0.500 0.500 0.500
# Size of the total moment (Bohr magnetons per cell): 0.00
# Calculated formation energy (meV/atom): -316
# Calculated total energy (eV per atom): -4.7376
# DOS at the Fermi energy (states/eV per cell): 3.8
# Polymorph energy (0 for the lowest one) (eV/atom): 0.101